Record 1
A plane-wave DFT calculation with GGA-PBEsol was carried out for a relaxed structure of LiZrSb2.

```
LiZrSb2
1.0
3.175 0.000 0.000
0.000 4.982 0.000
-1.565 0.000 5.522
Li Zr Sb
1 1 2
Cartesian
0.000 0.000 0.000
1.635 2.491 3.533
0.046 0.000 2.859
1.600 2.491 0.513
```

Results
Distance to the lowest polymorph of the same formula = 0.052 eV/atom
Formation energy (no corrections) = -0.476 eV per atom
Space-group type = Pm

=====

Record 2
A plane-wave DFT calculation with GGA-PBEsol was carried out for a relaxed structure of LiZrSb2.

```
LiZrSb2
1.0
2.033 -2.572 0.000
2.033 2.572 0.000
0.000 0.000 8.494
Li Zr Sb
1 1 2
Cartesian
0.000 0.000 0.000
0.000 0.000 4.247
2.033 0.000 2.155
2.033 0.000 6.339
```

Results
Distance to the lowest polymorph of the same formula = 0.000 eV/atom
Formation energy (no corrections) = -0.528 eV per atom
Space-group type = Cmmm

=====

Record 3
A plane-wave DFT calculation with GGA-PBEsol was carried out for a relaxed structure of Li4Sc3.

```
Li4Sc3
1.0
-1.699 1.699 12.460
1.699 -1.699 12.460
1.699 1.699 -12.460
Li Sc
4 3
Cartesian
0.000 0.000 1.874
0.000 0.000 9.171
0.000 0.000 15.749
0.000 0.000 23.046
0.000 0.000 5.237
0.000 0.000 12.460
0.000 0.000 19.683
```

Results
DFT formation energy = 0.145 eV/atom
Space-group type = I4/mmm

=====

Record 4
A plane-wave DFT calculation with GGA-PBEsol was carried out for a relaxed structure of Li5Sc.

```
Li5Sc
1.0
5.273 0.000 0.000
-2.637 4.567 0.000
0.000 0.000 4.925
Li Sc
5 1
Cartesian
-0.957 1.658 0.000
0.000 3.045 2.463
1.915 0.000 0.000
1.679 2.909 0.000
2.637 1.522 2.463
0.000 0.000 2.463
```

Results
DFT formation energy = 0.166 eV/atom
Space-group type = P-62m

=====

Record 5
A plane-wave DFT calculation with GGA-PBEsol was carried out for a relaxed structure of LiSc3.

```
LiSc3
1.0
-1.707 2.488 5.142
1.707 -2.488 5.142
1.707 2.488 -5.142
Li Sc
1 3
Cartesian
0.000 0.000 0.000
1.707 0.000 2.325
0.000 0.000 5.142
0.000 2.488 2.817
```

Results
Distance to the lowest polymorph of the same formula = 0.016 eV/atom
DFT formation energy = 0.119 eV/atom
Space-group type = Immm

=====

Record 6
A plane-wave DFT calculation with GGA-PBEsol was carried out for a relaxed structure of LiSc3.

```
LiSc3
1.0
3.230 0.000 0.000
-1.615 2.797 0.000
0.000 0.000 10.220
Li Sc
1 3
Cartesian
0.000 0.000 0.000
0.000 0.000 5.110
0.000 1.865 2.588
0.000 1.865 7.632
```

Results
Distance to the lowest polymorph of the same formula = 0.000 eV/atom
DFT formation energy = 0.103 eV/atom
Space-group type = P-6m2

=====

Record 7
A plane-wave DFT calculation with GGA-PBEsol was carried out for a relaxed structure of LiSc3.

```
LiSc3
1.0
3.249 0.000 0.000
0.000 3.249 0.000
0.000 0.000 8.455
Li Sc
1 3
Cartesian
0.000 0.000 0.000
0.000 0.000 4.227
1.625 1.625 2.031
1.625 1.625 6.424
```

Results
Distance to the lowest polymorph of the same formula = 0.014 eV/atom
DFT formation energy = 0.118 eV/atom
Space-group type = P4/mmm

=====

Record 8
A plane-wave DFT calculation with GGA-PBEsol was carried out for a relaxed structure of LiSc5.

```
LiSc5
1.0
5.101 0.000 0.000
0.000 1.625 8.349
0.000 -1.625 8.349
Li Sc
1 5
Cartesian
0.000 0.000 0.000
0.000 0.000 5.576
0.000 0.000 11.175
2.551 0.000 3.712
2.551 0.000 9.238
2.551 0.000 14.824
```

Results
Distance to the lowest polymorph of the same formula = 0.020 eV/atom
DFT formation energy = 0.110 eV/atom
Space-group type = Amm2

=====

Record 9
A plane-wave DFT calculation with GGA-PBEsol was carried out for a relaxed structure of Li2Sc.

```
Li2Sc
1.0
4.900 0.000 0.000
-2.450 4.243 0.000
0.000 0.000 2.977
Li Sc
2 1
Cartesian
0.000 2.829 0.021
2.450 1.414 2.956
0.000 0.000 1.488
```

Results
DFT formation energy = 0.232 eV/atom
Space-group type = P-3m1

=====

Record 10
A plane-wave DFT calculation with GGA-PBEsol was carried out for a relaxed structure of LiSc5.

```
LiSc5
1.0
5.701 -1.638 0.000
5.701 1.638 0.000
-2.340 0.000 7.359
Li Sc
1 5
Cartesian
0.000 0.000 0.000
3.148 0.000 0.604
2.123 0.000 5.007
5.274 0.000 5.454
6.561 0.000 2.499
9.587 0.000 3.116
```

Results
Distance to the lowest polymorph of the same formula = 0.000 eV/atom
DFT formation energy = 0.089 eV/atom
Space-group type = Cm

=====

Record 11
A plane-wave DFT calculation with GGA-PBEsol was carried out for a relaxed structure of LiSc3.

```
LiSc3
1.0
5.040 0.000 0.000
0.000 5.040 0.000
0.000 0.000 3.521
Li Sc
1 3
Cartesian
0.000 0.000 0.000
0.000 2.520 1.761
2.520 0.000 1.761
2.520 2.520 0.000
```

Results
Distance to the lowest polymorph of the same formula = 0.086 eV/atom
DFT formation energy = 0.189 eV/atom
Space-group type = P4/mmm

=====

Record 12
A plane-wave DFT calculation with GGA-PBEsol was carried out for a relaxed structure of LiSc2.

```
LiSc2
1.0
1.630 -8.222 0.000
1.630 8.222 0.000
0.000 0.000 5.051
Li Sc
2 4
Cartesian
1.630 4.556 3.788
1.630 -4.556 1.263
1.630 6.403 1.263
1.630 0.886 1.263
1.630 -0.886 3.788
1.630 -6.403 3.788
```

Results
DFT formation energy = 0.109 eV/atom
Space-group type = Cmcm